Material: TiCr3Hg3O8
Method: DFT, GGA+U
State: relaxed

Cell and atoms, written as CIF:
```
data_TiCr3Hg3O8
_space_group_name_H-M_alt 'P 1'
_space_group_IT_number 1
_cell_length_a 6.011
_cell_length_b 6.011
_cell_length_c 7.730
_cell_angle_alpha 112.58
_cell_angle_beta 112.58
_cell_angle_gamma 60.17
loop_
_space_group_symop_operation_xyz
'x,y,z'
loop_
_atom_site_label
_atom_site_fract_x
_atom_site_fract_y
_atom_site_fract_z
Ti1 0.000 0.000 0.000
Cr1 0.000 0.500 0.000
Cr2 0.500 0.000 0.000
Cr3 0.500 0.500 0.000
Hg1 0.000 0.500 0.500
Hg2 0.500 0.000 0.500
Hg3 0.500 0.500 0.500
O1 0.116 0.116 0.857
O2 0.118 0.622 0.854
O3 0.378 0.882 0.146
O4 0.382 0.382 0.145
O5 0.618 0.618 0.855
O6 0.622 0.118 0.854
O7 0.882 0.378 0.146
O8 0.884 0.884 0.143
```

## Properties
- Space-group type: C2/m (12)
- VASP energy: -6.29 eV/atom